(1)
The following is a PBE calculation of a relaxed structure of AcBeAs2, from Alexandria.

Values from the calculation:
Its space-group type is P4/mmm. For the calculated formation energy, the calculation gives -0.094 eV/atom.

Unit cell a=3.672 b=3.672 c=6.442 alpha=90.00 beta=90.00 gamma=90.00
Element x y z (fractional)
As 0.000 0.000 0.808
As 0.000 0.000 0.192
Be 0.500 0.500 0.000
Ac 0.500 0.500 0.500

(2)
The following is a PBE calculation of a relaxed structure of AcBeAs2, from Alexandria.

Values from the calculation:
Its space-group type is R-3m. For the calculated formation energy, the calculation gives -0.259 eV/atom.

Unit cell a=4.799 b=4.799 c=7.707 alpha=71.86 beta=71.86 gamma=60.00
Element x y z (fractional)
Ac 0.500 0.500 0.500
As 0.096 0.096 0.711
Be 0.000 0.000 0.000
As 0.904 0.904 0.289

(3)
The following is a PBE calculation of a relaxed structure of AcBeAs, from Alexandria.

Values from the calculation:
Its space-group type is P-6m2. For the calculated formation energy, the calculation gives -0.751 eV/atom.

Unit cell a=4.825 b=3.964 c=3.964 alpha=120.00 beta=90.00 gamma=90.00
Element x y z (fractional)
As 0.167 0.333 0.667
Be 0.167 0.000 0.000
Ac 0.667 0.667 0.333

(4)
The following is a PBE calculation of a relaxed structure of AcBe8As6, from Alexandria.

Values from the calculation:
Its space-group type is R-3. For the calculated formation energy, the calculation gives -0.173 eV/atom.

Unit cell a=6.379 b=6.379 c=6.379 alpha=97.12 beta=97.12 gamma=97.12
Element x y z (fractional)
Be 0.681 0.681 0.681
As 0.269 0.141 0.590
Be 0.608 0.178 0.491
As 0.731 0.859 0.410
Be 0.178 0.491 0.608
Be 0.491 0.608 0.178
As 0.141 0.590 0.269
Be 0.822 0.509 0.392
Be 0.392 0.822 0.509
Be 0.509 0.392 0.822
As 0.859 0.410 0.731
Be 0.319 0.319 0.319
Ac 0.000 0.000 0.000
As 0.410 0.731 0.859
As 0.590 0.269 0.141

(5)
The following is a PBE calculation of a relaxed structure of AcBeAs, from Alexandria.

Values from the calculation:
Its space-group type is I4mm. For the calculated formation energy, the calculation gives -0.115 eV/atom.

Unit cell a=3.545 b=3.545 c=5.958 alpha=107.31 beta=107.31 gamma=90.00
Element x y z (fractional)
As 0.712 0.712 0.424
Be 0.290 0.290 0.581
Ac 0.997 0.997 0.995

(6)
The following is a PBE calculation of a relaxed structure of AcHfBeAs3, from Alexandria.

Values from the calculation:
Its space-group type is P2_1/m. For the calculated formation energy, the calculation gives -0.895 eV/atom.

Unit cell a=3.953 b=8.382 c=8.835 alpha=106.73 beta=90.00 gamma=90.00
Element x y z (fractional)
As 0.250 0.543 0.827
As 0.750 0.457 0.173
Hf 0.750 0.329 0.852
As 0.750 0.892 0.137
As 0.250 0.108 0.863
Ac 0.750 0.802 0.760
Hf 0.250 0.671 0.148
Ac 0.250 0.198 0.240
As 0.750 0.208 0.527
Be 0.250 0.086 0.594
Be 0.750 0.914 0.406
As 0.250 0.792 0.473

(7)
The following is a PBE calculation of a relaxed structure of AcBe2AsO2, from Alexandria.

Values from the calculation:
Its space-group type is P2_1/m.

Unit cell a=4.554 b=6.090 c=6.944 alpha=110.10 beta=90.00 gamma=90.00
Element x y z (fractional)
Be 0.499 0.860 0.786
Ac 0.250 0.680 0.327
O 0.750 0.329 0.320
O 0.750 0.886 0.630
Be 0.001 0.860 0.786
Be 0.501 0.140 0.214
O 0.250 0.114 0.370
O 0.250 0.671 0.680
Be 0.999 0.140 0.214
As 0.750 0.785 0.056
As 0.250 0.215 0.944
Ac 0.750 0.320 0.673

(8)
The following is a PBE calculation of a relaxed structure of AcBeAsO6, from Alexandria.

Values from the calculation:
Its space-group type is P312.

Unit cell a=4.913 b=4.913 c=5.374 alpha=90.01 beta=90.00 gamma=60.00
Last column: magnetic moment on the atom in μB.
Element x y z (fractional)
O 0.610 0.998 0.303  0.29
O 0.998 0.392 0.303  0.29
Be 0.333 0.333 0.500  -0.02
As 0.667 0.667 0.500  -0.03
O 0.998 0.610 0.697  0.29
O 0.392 0.610 0.303  0.29
O 0.610 0.392 0.697  0.29
Ac 0.000 0.000 0.000  0.03
O 0.392 0.998 0.697  0.29

| no. | E (eV per atom) |
| --- | --- |
| 1 | -4.377 |
| 2 | -4.542 |
| 3 | -4.912 |
| 4 | -4.294 |
| 5 | -4.277 |
| 6 | -6.185 |
| 7 | -6.391 |
| 8 | -6.469 |